No. 1
Here is a geometry-optimized Mg7AgRh4 structure from Alexandria. Energies are from GGA-PBE.

## Properties
For the density of states at the Fermi level, the calculation gives 8.9 states/eV per cell. For the formation energy, the calculation gives -0.1928 eV/atom. For the total energy, the calculation gives -3.81 eV/atom. The calculation puts the density at 5.17 g/cm3.

```
data_Mg7AgRh4
_cell_length_a 12.693
_cell_length_b 4.745
_cell_length_c 9.154
_cell_angle_alpha 90.00
_cell_angle_beta 126.54
_cell_angle_gamma 90.00
_space_group_name_H-M_alt 'C 1 2/m 1'
_space_group_IT_number 12
_space_group_name_Hall '-C 2y'
loop_
_atom_site_label
_atom_site_fract_x
_atom_site_fract_y
_atom_site_fract_z
_atom_site_occupancy
Mg1 0.000 0.000 0.000 1
Mg2 0.068 0.500 0.358 1
Mg3 0.181 0.000 0.626 1
Mg4 0.219 0.500 0.871 1
Ag1 0.000 0.500 0.000 1
Rh1 0.066 0.000 0.783 1
Rh2 0.191 0.000 0.347 1
```


No. 2
Here is a geometry-optimized MgAgRu2Rh structure from Alexandria. Energies are from GGA-PBE.

## Properties
For the density of states at the Fermi level, the calculation gives 7.5 states/eV per cell. For the formation energy, the calculation gives 1.6819 eV/atom. For the total energy, the calculation gives -4.39 eV/atom. The calculation puts the density at 7.93 g/cm3.

```
data_MgAgRu2Rh
_cell_length_a 4.506
_cell_length_b 4.506
_cell_length_c 4.508
_cell_angle_alpha 90.00
_cell_angle_beta 90.00
_cell_angle_gamma 90.00
_space_group_name_H-M_alt 'P 4/m m m'
_space_group_IT_number 123
_space_group_name_Hall '-P 4 2'
loop_
_atom_site_label
_atom_site_fract_x
_atom_site_fract_y
_atom_site_fract_z
_atom_site_occupancy
Mg1 0.000 0.000 0.000 1
Ag1 0.000 0.000 0.500 1
Ru1 0.000 0.500 0.000 1
Rh1 0.500 0.500 0.500 1
```


No. 3
Here is a geometry-optimized MgAgRhS2 structure from Alexandria. Energies are from GGA-PBE.

## Properties
For the density of states at the Fermi level, the calculation gives 4.1 states/eV per cell. For the total energy, the calculation gives -3.83 eV/atom. The calculation puts the density at 4.77 g/cm3. Its uncorrected formation energy is 0.18 eV per atom.

```
data_MgAgRhS2
_cell_length_a 4.672
_cell_length_b 4.672
_cell_length_c 4.775
_cell_angle_alpha 90.00
_cell_angle_beta 90.00
_cell_angle_gamma 90.00
_space_group_name_H-M_alt 'P 4/m m m'
_space_group_IT_number 123
_space_group_name_Hall '-P 4 2'
loop_
_atom_site_label
_atom_site_fract_x
_atom_site_fract_y
_atom_site_fract_z
_atom_site_occupancy
Mg1 0.000 0.000 0.000 1
Ag1 0.500 0.500 0.000 1
Rh1 0.000 0.000 0.500 1
S1 0.000 0.500 0.500 1
```


No. 4
Here is a geometry-optimized MgScAg2Rh structure from Alexandria. Energies are from GGA-PBE.

## Properties
For the density of states at the Fermi level, the calculation gives 2.2 states/eV per cell. For the formation energy, the calculation gives 0.5328 eV/atom. For the total energy, the calculation gives -3.66 eV/atom. The calculation puts the density at 5.38 g/cm3.

```
data_MgScAg2Rh
_cell_length_a 5.122
_cell_length_b 5.122
_cell_length_c 4.561
_cell_angle_alpha 90.00
_cell_angle_beta 90.00
_cell_angle_gamma 90.00
_space_group_name_H-M_alt 'P 4/m m m'
_space_group_IT_number 123
_space_group_name_Hall '-P 4 2'
loop_
_atom_site_label
_atom_site_fract_x
_atom_site_fract_y
_atom_site_fract_z
_atom_site_occupancy
Mg1 0.000 0.000 0.000 1
Sc1 0.500 0.500 0.500 1
Ag1 0.000 0.500 0.500 1
Rh1 0.500 0.500 0.000 1
```